# 1
Compound: Sr2MnAs
Source: Alexandria via LeMat-Bulk
Functional: PBE
Structure: relaxed

Calculated values
- Formation energy from the elements: 0.08 eV/atom
- Final energy: -4.22 eV/atom
- Space-group type: I-42d, No. 122
- Spin magnetization: 1.000 μB/atom

Cell lengths 8.529, 8.529, 7.100 Å; angles 53.09, 53.09, 90.00 degrees
Fractional positions:
Mn  0.250  0.750  0.500
Mn  0.500  0.500  0.000
Sr  0.875  0.906  0.750
Sr  0.094  0.625  0.250
Sr  0.656  0.125  0.250
Sr  0.375  0.344  0.750
As  0.000  0.000  0.000
As  0.750  0.250  0.500

---

# 2
Compound: Ca6BiBr8
Source: Alexandria via LeMat-Bulk
Functional: PBE
Structure: relaxed

Calculated values
- Final energy: -3.66 eV/atom
- Space-group type: R-3, No. 148
- Spin magnetization: 0.000 μB/atom
- Raw formation energy: -25.61 eV/f.u.

Cell lengths 7.588, 7.588, 11.302 Å; angles 70.38, 70.38, 60.00 degrees
Fractional positions:
Br  0.333  0.333  0.000
Br  0.107  0.761  0.676
Br  0.761  0.455  0.676
Br  0.239  0.545  0.324
Br  0.545  0.893  0.324
Br  0.893  0.239  0.324
Br  0.455  0.107  0.676
Br  0.667  0.667  0.000
Ca  0.382  0.739  0.818
Ca  0.261  0.939  0.182
Ca  0.739  0.061  0.818
Ca  0.061  0.382  0.818
Ca  0.618  0.261  0.182
Ca  0.939  0.618  0.182
Bi  0.000  0.000  0.000

---

# 3
Compound: Na7SnHg3
Source: Alexandria via LeMat-Bulk
Functional: PBE
Structure: relaxed

Calculated values
- Formation energy from the elements: -0.16 eV/atom
- Final energy: -1.44 eV/atom
- Space-group type: Cmcm, No. 63
- Spin magnetization: 0.000 μB/atom

Cell lengths 3.520, 12.881, 14.125 Å; angles 90.00, 90.00, 97.85 degrees
Fractional positions:
Na  0.794  0.588  0.620
Na  0.206  0.412  0.120
Na  0.599  0.197  0.250
Na  0.478  0.956  0.387
Na  0.794  0.588  0.880
Na  0.657  0.314  0.915
Na  0.522  0.044  0.887
Na  0.401  0.803  0.750
Na  0.343  0.686  0.415
Na  0.478  0.956  0.113
Na  0.206  0.412  0.380
Na  0.343  0.686  0.085
Na  0.657  0.314  0.585
Na  0.522  0.044  0.613
Hg  0.083  0.165  0.441
Hg  0.782  0.563  0.250
Hg  0.917  0.835  0.559
Hg  0.917  0.835  0.941
Hg  0.218  0.437  0.750
Hg  0.083  0.165  0.059
Sn  0.099  0.198  0.750
Sn  0.901  0.802  0.250

---

# 4
Compound: Mg4Pb2O
Source: Alexandria via LeMat-Bulk
Functional: PBE
Structure: relaxed

Calculated values
- Final energy: -3.33 eV/atom
- Space-group type: I4/mmm, No. 139
- Spin magnetization: 0.000 μB/atom
- Raw formation energy: -4.55 eV/f.u.

Cell lengths 4.411, 4.411, 8.161 Å; angles 105.68, 105.68, 90.00 degrees
Fractional positions:
O  0.000  0.000  0.000
Mg  0.000  0.500  0.000
Mg  0.146  0.146  0.291
Mg  0.500  0.000  0.000
Mg  0.854  0.854  0.709
Pb  0.346  0.346  0.692
Pb  0.654  0.654  0.308

---

# 5
Compound: Tm2CoCl
Source: Alexandria via LeMat-Bulk
Functional: PBE
Structure: relaxed

Calculated values
- Relative energy among the computed polymorphs: 2.4 kJ per mole of atoms
- Final energy: -5.29 eV/atom
- Space-group type: R3m, No. 160
- Spin magnetization: 0.000 μB/atom
- Raw formation energy: -3.27 eV/f.u.

Cell lengths 3.755, 3.755, 7.711 Å; angles 75.91, 75.91, 60.00 degrees
Fractional positions:
Tm  0.270  0.270  0.189
Tm  0.067  0.067  0.800
Cl  0.495  0.495  0.514
Co  0.668  0.668  0.997

---

# 6
Compound: Gd2PuZn
Source: Alexandria via LeMat-Bulk
Functional: PBE
Structure: relaxed

Calculated values
- Relative energy among the computed polymorphs: 0.0 kJ per mole of atoms
- Formation energy from the elements: -0.06 eV/atom
- Final energy: -11.01 eV/atom
- Space-group type: P4/mmm, No. 123
- Spin magnetization: 2.137 μB/atom

Cell lengths 3.499, 3.499, 8.551 Å; angles 90.00, 90.00, 90.00 degrees
Fractional positions:
Gd  0.000  0.000  0.217
Gd  0.000  0.000  0.783
Zn  0.500  0.500  0.000
Pu  0.500  0.500  0.500

---

# 7
Compound: Ho7Tm2
Source: Alexandria via LeMat-Bulk
Functional: PBE
Structure: relaxed

Calculated values
- Relative energy among the computed polymorphs: 1.3 kJ per mole of atoms
- Formation energy from the elements: 0.04 eV/atom
- Final energy: -4.51 eV/atom
- Space-group type: P-62m, No. 189
- Spin magnetization: 0.153 μB/atom

Cell lengths 3.509, 9.557, 9.557 Å; angles 120.00, 90.00, 90.00 degrees
Fractional positions:
Ho  0.500  0.000  0.000
Ho  0.000  0.696  0.696
Ho  0.500  0.637  0.000
Ho  0.500  0.000  0.637
Ho  0.000  0.000  0.304
Ho  0.500  0.363  0.363
Ho  0.000  0.304  0.000
Tm  0.000  0.333  0.667
Tm  0.000  0.667  0.333

---

# 8
Compound: PrAl4AgPt2
Source: Alexandria via LeMat-Bulk
Functional: PBE
Structure: relaxed

Calculated values
- Formation energy from the elements: -0.70 eV/atom
- Final energy: -5.03 eV/atom
- Space-group type: R-3m, No. 166
- Spin magnetization: 0.000 μB/atom

Cell lengths 4.306, 4.306, 9.513 Å; angles 76.92, 76.92, 60.00 degrees
Fractional positions:
Ag  0.500  0.500  0.500
Al  0.127  0.127  0.619
Al  0.597  0.597  0.210
Al  0.403  0.403  0.790
Al  0.873  0.873  0.381
Pr  0.000  0.000  0.000
Pt  0.238  0.238  0.286
Pt  0.762  0.762  0.714

---

# 9
Compound: NaMg2GaCu
Source: Alexandria via LeMat-Bulk
Functional: PBE
Structure: relaxed

Calculated values
- Formation energy from the elements: 0.03 eV/atom
- Final energy: -2.29 eV/atom
- Space-group type: P4/mmm, No. 123
- Spin magnetization: 0.000 μB/atom

Cell lengths 4.987, 4.987, 4.641 Å; angles 90.00, 90.00, 90.00 degrees
Fractional positions:
Cu  0.000  0.000  0.000
Mg  0.000  0.500  0.000
Mg  0.500  0.000  0.000
Na  0.500  0.500  0.500
Ga  0.000  0.000  0.500

---

# 10
Compound: Hg3PtPb
Source: Alexandria via LeMat-Bulk
Functional: PBE
Structure: relaxed

Calculated values
- Relative energy among the computed polymorphs: 78.9 kJ per mole of atoms
- Formation energy from the elements: 0.95 eV/atom
- Final energy: -1.18 eV/atom
- Space-group type: Pm-3m, No. 221
- Spin magnetization: 0.045 μB/atom

Cell lengths 5.653, 5.653, 5.653 Å; angles 90.00, 90.00, 90.00 degrees
Fractional positions:
Hg  0.500  0.000  0.000
Hg  0.000  0.500  0.000
Hg  0.000  0.000  0.500
Pt  0.500  0.500  0.500
Pb  0.000  0.000  0.000

---

# 11
Compound: Sm6HoTm3Sc2
Source: Alexandria via LeMat-Bulk
Functional: PBE
Structure: relaxed

Calculated values
- Formation energy from the elements: 0.04 eV/atom
- Final energy: -4.88 eV/atom
- Space-group type: C2/m, No. 12
- Spin magnetization: 0.000 μB/atom

Cell lengths 6.124, 6.124, 11.540 Å; angles 95.06, 95.06, 119.97 degrees
Fractional positions:
Sm  0.082  0.419  0.246
Sm  0.746  0.746  0.246
Sm  0.918  0.581  0.754
Sm  0.419  0.082  0.246
Sm  0.254  0.254  0.754
Sm  0.581  0.918  0.754
Tm  0.167  0.833  0.500
Tm  0.500  0.500  0.500
Tm  0.833  0.167  0.500
Sc  0.333  0.667  0.000
Sc  0.667  0.333  0.000
Ho  0.000  0.000  0.000

---

# 12
Compound: ZrSc2Pa
Source: Alexandria via LeMat-Bulk
Functional: PBE
Structure: relaxed

Calculated values
- Relative energy among the computed polymorphs: 4.8 kJ per mole of atoms
- Formation energy from the elements: 0.09 eV/atom
- Final energy: -7.59 eV/atom
- Space-group type: P4/mmm, No. 123
- Spin magnetization: 0.000 μB/atom

Cell lengths 4.830, 4.448, 4.448 Å; angles 90.00, 90.00, 90.00 degrees
Fractional positions:
Pa  0.500  0.000  0.000
Zr  0.500  0.500  0.500
Sc  0.000  0.500  0.000
Sc  0.000  0.000  0.500